{"formula": "Sr2LiLaH", "functional": "PBE", "state": "relaxed", "lattice": [[-1.2001, 6.4488, 1.8528], [1.0506, -1.6784, 6.5222], [4.8377, 1.0468, -0.5099]], "species": ["Li", "La", "H", "Sr", "Sr"], "frac_coords": [[0.0000, 0.0000, 0.5000], [0.0000, 0.0000, 0.0000], [0.5000, 0.5000, 0.5000], [0.5000, 0.0000, 0.0000], [0.0000, 0.5000, 0.0000]], "vol_a3_per_cell": 231.2, "dft_energy_ev_per_cell": -7.6, "spacegroup": "No. 123"}